Entry 1:
Compound: Y3HoBi4
Source: the Alexandria database
Functional: PBE
Structure: relaxed

a b c (Å): 6.3276 6.3276 6.3276
angles (deg): 90.00 90.00 90.00
Closest atoms and distances in Å follow each position.
Positions (direct):
Y 0.0000 0.5000 0.5000  6 Bi 3.16
Y 0.5000 0.0000 0.5000  6 Bi 3.16
Y 0.5000 0.5000 0.0000  6 Bi 3.16
Ho 0.0000 0.0000 0.0000  6 Bi 3.16
Bi 0.5000 0.0000 0.0000  4 Y 3.16, 2 Ho 3.16
Bi 0.0000 0.5000 0.0000  4 Y 3.16, 2 Ho 3.16
Bi 0.0000 0.0000 0.5000  4 Y 3.16, 2 Ho 3.16
Bi 0.5000 0.5000 0.5000  6 Y 3.16

Summary:
Energy of formation: -0.89 eV per atom
Symmetry: Pm-3m
Density: 8.31 g/cm3
Magnetic moment: 0.000 μB per atom
E above lowest polymorph: 0 meV/atom

=====

Entry 2:
Compound: NaSmSn2
Source: the Alexandria database
Functional: PBE
Structure: relaxed

a b c (Å): 4.5839 4.8049 4.8049
angles (deg): 90.00 90.00 90.00
Closest atoms and distances in Å follow each position.
Positions (direct):
Na 0.5000 0.0000 0.0000  8 Sn 3.32, 4 Sm 3.40
Sn 0.0000 0.0000 0.5000  4 Na 3.32, 4 Sm 3.32, 4 Sn 3.40
Sn 0.0000 0.5000 0.0000  4 Na 3.32, 4 Sm 3.32, 4 Sn 3.40
Sm 0.5000 0.5000 0.5000  8 Sn 3.32, 4 Na 3.40

Summary:
Energy of formation: -0.48 eV per atom
Symmetry: P4/mmm
Density: 6.45 g/cm3
Magnetic moment: 0.000 μB per atom

=====

Entry 3:
Compound: CdInAgBr4
Source: the Alexandria database
Functional: PBE
Structure: relaxed

a b c (Å): 7.1153 7.8958 8.6421
angles (deg): 90.00 101.11 90.00
Closest atoms and distances in Å follow each position.
Positions (direct):
Cd 0.2214 0.7500 0.3341  4 Br 2.61-2.69
Cd 0.7786 0.2500 0.6659  4 Br 2.61-2.69
In 0.7910 0.7500 0.9436  6 Br 3.26-3.43, 1 Ag 3.57
In 0.2090 0.2500 0.0564  6 Br 3.26-3.43, 1 Ag 3.57
Ag 0.7119 0.7500 0.3394  4 Br 2.69-2.81
Ag 0.2881 0.2500 0.6606  4 Br 2.69-2.81
Br 0.0377 0.4960 0.7332  1 Cd 2.66, 1 Ag 2.79
Br 0.9623 0.9960 0.2668  1 Cd 2.66, 1 Ag 2.79
Br 0.9623 0.5040 0.2668  1 Cd 2.66, 1 Ag 2.79
Br 0.0377 0.0040 0.7332  1 Cd 2.66, 1 Ag 2.79
Br 0.3985 0.7500 0.0859  1 Cd 2.69, 1 Ag 2.81
Br 0.6015 0.2500 0.9141  1 Cd 2.69, 1 Ag 2.81
Br 0.5097 0.7500 0.5729  1 Cd 2.61, 1 Ag 2.69
Br 0.4903 0.2500 0.4271  1 Cd 2.61, 1 Ag 2.69

Summary:
Symmetry: P2_1/m
Density: 4.56 g/cm3
Magnetic moment: 0.000 μB per atom
Formation energy without anion corrections: -413 kJ/mol of formula units

=====

Entry 4:
Compound: MgCd2Ag
Source: the Alexandria database
Functional: PBE
Structure: relaxed

a b c (Å): 5.2588 5.2588 5.2588
angles (deg): 131.31 131.10 71.49
Closest atoms and distances in Å follow each position.
Positions (direct):
Mg 0.7500 0.2500 0.5000  8 Cd 3.04-3.05, 4 Ag 3.07
Ag 0.2500 0.7500 0.5000  8 Cd 3.04-3.05, 4 Mg 3.07
Cd 0.0003 0.0003 0.0000  4 Ag 3.04-3.05, 4 Mg 3.04-3.05, 4 Cd 3.07
Cd 0.4997 0.4997 0.0000  4 Ag 3.04-3.05, 4 Mg 3.04-3.05, 4 Cd 3.07

Summary:
Energy of formation: -0.09 eV per atom
Symmetry: Immm
Density: 7.36 g/cm3
Magnetic moment: 0.000 μB per atom
E above lowest polymorph: 11 meV/atom

=====

Entry 5:
Compound: SmYMgCu
Source: the Alexandria database
Functional: PBE
Structure: relaxed

a b c (Å): 5.1864 5.1864 5.1864
angles (deg): 60.00 60.00 60.00
Closest atoms and distances in Å follow each position.
Positions (direct):
Y 0.7500 0.7500 0.7500  4 Mg 3.18, 4 Cu 3.18
Mg 0.5000 0.5000 0.5000  4 Sm 3.18, 4 Y 3.18
Cu 0.0000 0.0000 0.0000  4 Y 3.18, 4 Sm 3.18
Sm 0.2500 0.2500 0.2500  4 Cu 3.18, 4 Mg 3.18

Summary:
Energy of formation: -0.06 eV per atom
Symmetry: F-43m
Density: 5.51 g/cm3
Magnetic moment: 0.000 μB per atom

=====

Entry 6:
Compound: FeTcNi2
Source: the Alexandria database
Functional: PBE
Structure: relaxed

a b c (Å): 2.6095 2.6095 8.4329
angles (deg): 81.10 81.10 60.00
Closest atoms and distances in Å follow each position.
Positions (direct):
Fe 0.6665 0.6665 0.0006  6 Ni 2.52-2.53, 6 Fe 2.61
Tc 0.5004 0.5004 0.4989  6 Ni 2.59-2.61, 6 Tc 2.61
Ni 0.0813 0.0813 0.7562  3 Fe 2.53, 6 Ni 2.61, 3 Tc 2.61
Ni 0.2519 0.2519 0.2443  3 Fe 2.52, 3 Tc 2.59, 6 Ni 2.61

Summary:
Energy of formation: 0.08 eV per atom
Symmetry: R3m
Density: 9.20 g/cm3
Magnetic moment: 0.845 μB per atom
E above lowest polymorph: 80 meV/atom

=====

Entry 7:
Compound: KRb2I4
Source: the Alexandria database
Functional: PBE
Structure: relaxed

a b c (Å): 6.6248 6.6248 10.3712
angles (deg): 71.37 71.37 90.00
Closest atoms and distances in Å follow each position.
Positions (direct):
I 0.1897 0.1897 0.6206  1 K 3.51, 1 Rb 3.58
I 0.8103 0.8103 0.3794  1 K 3.51, 1 Rb 3.58
I 0.0000 0.5000 0.0000  2 K 3.31
I 0.5000 0.0000 0.0000  2 K 3.31
K 0.0000 0.0000 0.0000  6 I 3.31-3.51
Rb 0.3831 0.3831 0.2338  5 I 3.58-3.96
Rb 0.6169 0.6169 0.7662  5 I 3.58-3.96

Summary:
Symmetry: I4/mmm
Density: 2.93 g/cm3
Magnetic moment: 0.166 μB per atom
Formation energy without anion corrections: -726 kJ/mol of formula units

=====

Entry 8:
Compound: Ac2TePdO6
Source: the Alexandria database
Functional: PBE
Structure: relaxed

a b c (Å): 4.7937 5.8311 5.8311
angles (deg): 90.00 90.00 90.00
Closest atoms and distances in Å follow each position.
Positions (direct):
Ac 0.0415 0.5000 0.0000  4 O 2.59
Ac 0.0415 0.0000 0.5000  4 O 2.59
Te 0.6356 0.0000 0.0000  5 O 2.06
Pd 0.6476 0.5000 0.5000  5 O 2.12-2.37
O 0.7153 0.2457 0.2457  1 Te 2.06, 1 Pd 2.12
O 0.7153 0.2457 0.7543  1 Te 2.06, 1 Pd 2.12
O 0.1542 0.5000 0.5000  2 Pd 2.37-2.43
O 0.0653 0.0000 0.0000  1 Te 2.06
O 0.7153 0.7543 0.7543  1 Te 2.06, 1 Pd 2.12
O 0.7153 0.7543 0.2457  1 Te 2.06, 1 Pd 2.12

Summary:
Symmetry: P4mm
Density: 7.99 g/cm3
Magnetic moment: 0.000 μB per atom
Formation energy without anion corrections: -1767 kJ/mol of formula units

=====

Entry 9:
Compound: CaFeAg3
Source: the Alexandria database
Functional: PBE
Structure: relaxed

a b c (Å): 5.2422 5.2422 5.2422
angles (deg): 90.00 90.00 90.00
Closest atoms and distances in Å follow each position.
Positions (direct):
Ca 0.0000 0.0000 0.0000  6 Ag 2.62
Fe 0.5000 0.5000 0.5000  12 Ag 3.71
Ag 0.0000 0.5000 0.0000  2 Ca 2.62
Ag 0.0000 0.0000 0.5000  2 Ca 2.62
Ag 0.5000 0.0000 0.0000  2 Ca 2.62

Summary:
Energy of formation: 1.38 eV per atom
Symmetry: Pm-3m
Density: 4.84 g/cm3
Magnetic moment: 0.690 μB per atom
E above lowest polymorph: 993 meV/atom

=====

Entry 10:
Compound: BiBRuPb2
Source: the Alexandria database
Functional: PBE
Structure: relaxed

a b c (Å): 5.2464 5.2472 5.2464
angles (deg): 90.00 90.00 90.00
Closest atoms and distances in Å follow each position.
Positions (direct):
Pb 0.0000 0.0000 0.5000  2 Ru 2.62
Pb 0.5000 0.0000 0.0000  2 Ru 2.62
Ru 0.0000 0.0000 0.0000  4 Pb 2.62, 2 Bi 2.62
B 0.5000 0.5000 0.5000  4 Bi 3.71, 8 Pb 3.71
Bi 0.0000 0.5000 0.0000  2 Ru 2.62

Summary:
Energy of formation: 1.20 eV per atom
Symmetry: P4/mmm
Density: 8.45 g/cm3
Magnetic moment: 0.000 μB per atom

=====

Entry 11:
Compound: Sc6Al3Pd
Source: the Alexandria database
Functional: PBE
Structure: relaxed

a b c (Å): 4.8419 8.3511 10.6066
angles (deg): 109.76 90.00 90.00
Closest atoms and distances in Å follow each position.
Positions (direct):
Sc 0.2500 0.4590 0.0798  7 Al 2.87-3.17, 4 Sc 3.07-3.16
Sc 0.7500 0.5410 0.9202  7 Al 2.87-3.17, 4 Sc 3.07-3.16
Sc 0.2500 0.1406 0.1625  4 Al 3.04-3.24, 8 Sc 3.04-3.34
Sc 0.7500 0.8594 0.8375  4 Al 3.04-3.24, 8 Sc 3.04-3.34
Sc 0.2500 0.6676 0.6670  1 Pd 2.77, 5 Al 2.87-3.07
Sc 0.7500 0.3324 0.3330  1 Pd 2.77, 5 Al 2.87-3.07
Sc 0.2500 0.2432 0.4956  3 Pd 2.89-2.92, 4 Al 2.89-3.11, 2 Sc 3.20
Sc 0.7500 0.7568 0.5044  3 Pd 2.89-2.92, 4 Al 2.89-3.11, 2 Sc 3.20
Sc 0.2500 0.8425 0.3043  3 Pd 2.84-2.96, 3 Al 2.96-3.07, 2 Sc 3.16
Sc 0.7500 0.1575 0.6957  3 Pd 2.84-2.96, 3 Al 2.96-3.07, 2 Sc 3.16
Sc 0.2500 0.0960 0.8657  1 Pd 2.77, 3 Al 2.91-2.95, 3 Sc 3.04-3.07
Sc 0.7500 0.9040 0.1343  1 Pd 2.77, 3 Al 2.91-2.95, 3 Sc 3.04-3.07
Al 0.2500 0.5268 0.3731  8 Sc 2.87-3.11, 2 Al 3.13
Al 0.7500 0.4732 0.6269  8 Sc 2.87-3.11, 2 Al 3.13
Al 0.2500 0.3955 0.7841  8 Sc 2.87-3.07, 3 Al 3.10-3.13
Al 0.7500 0.6045 0.2159  8 Sc 2.87-3.07, 3 Al 3.10-3.13
Al 0.2500 0.7712 0.9737  10 Sc 2.95-3.28, 1 Al 3.10
Al 0.7500 0.2288 0.0263  10 Sc 2.95-3.28, 1 Al 3.10
Pd 0.2500 0.9525 0.5891  8 Sc 2.77-2.96
Pd 0.7500 0.0475 0.4109  8 Sc 2.77-2.96

Summary:
Energy of formation: -0.44 eV per atom
Symmetry: P2_1/m
Density: 3.76 g/cm3
Magnetic moment: 0.000 μB per atom

=====

Entry 12:
Compound: CrBiSCl2
Source: the Alexandria database
Functional: PBE
Structure: relaxed

a b c (Å): 5.3912 5.3912 5.4049
angles (deg): 90.00 90.00 90.00
Closest atoms and distances in Å follow each position.
Positions (direct):
Cr 0.5000 0.5000 0.5000  4 S 3.81, 8 Cl 3.82
S 0.0000 0.0000 0.5000  2 Bi 2.70
Bi 0.0000 0.0000 0.0000  4 Cl 2.70, 2 S 2.70
Cl 0.0000 0.5000 0.0000  2 Bi 2.70
Cl 0.5000 0.0000 0.0000  2 Bi 2.70

Summary:
Symmetry: P4/mmm
Density: 3.85 g/cm3
Magnetic moment: 0.994 μB per atom
Formation energy without anion corrections: 51 kJ/mol of formula units
E above lowest polymorph: 428 meV/atom

=====

Entry 13:
Compound: CrRh
Source: the Alexandria database
Functional: PBE
Structure: relaxed

a b c (Å): 4.2145 4.2145 4.2145
angles (deg): 59.96 59.96 59.96
Closest atoms and distances in Å follow each position.
Positions (direct):
Cr 0.1254 0.1254 0.1254  4 Cr 2.58-2.59, 4 Rh 2.58
Cr 0.8746 0.8746 0.8746  4 Cr 2.58-2.59, 4 Rh 2.58
Rh 0.3751 0.3751 0.3751  4 Cr 2.58, 4 Rh 2.58
Rh 0.6249 0.6249 0.6249  4 Cr 2.58, 4 Rh 2.58

Summary:
Energy of formation: 0.24 eV per atom
Symmetry: R-3m
Density: 9.73 g/cm3
Magnetic moment: 0.000 μB per atom

=====

Entry 14:
Compound: BaZr2Co
Source: the Alexandria database
Functional: PBE
Structure: relaxed

a b c (Å): 5.0858 5.0858 3.4123
angles (deg): 90.00 90.00 90.00
Closest atoms and distances in Å follow each position.
Positions (direct):
Ba 0.5000 0.0000 0.5000  8 Zr 3.06, 2 Ba 3.41
Co 0.0000 0.5000 0.5000  8 Zr 3.06, 2 Co 3.41
Zr 0.0000 0.0000 0.0000  4 Ba 3.06, 4 Co 3.06, 2 Zr 3.41
Zr 0.5000 0.5000 0.0000  4 Ba 3.06, 4 Co 3.06, 2 Zr 3.41

Summary:
Energy of formation: 0.85 eV per atom
Symmetry: P4/mmm
Density: 7.12 g/cm3
Magnetic moment: 0.096 μB per atom
E above lowest polymorph: 687 meV/atom

=====

Entry 15:
Compound: Er3S4Cl
Source: the Alexandria database
Functional: PBE
Structure: relaxed

a b c (Å): 6.8437 7.6297 9.6351
angles (deg): 109.08 90.00 116.65
Closest atoms and distances in Å follow each position.
Positions (direct):
S 0.2673 0.2107 0.9351  3 Er 2.60-2.63
S 0.9434 0.2107 0.4351  3 Er 2.60-2.63
S 0.5583 0.4420 0.6459  4 Er 2.67-2.82
S 0.8837 0.4420 0.1459  4 Er 2.67-2.82
S 0.1069 0.6032 0.8405  4 Er 2.69-2.79
S 0.4963 0.6032 0.3405  4 Er 2.69-2.79
S 0.0495 0.7615 0.5277  4 Er 2.69-2.75
S 0.7120 0.7615 0.0277  4 Er 2.69-2.75
Cl 0.6467 0.9814 0.7392  3 Er 2.74-2.85
Cl 0.3347 0.9814 0.2392  3 Er 2.74-2.85
Er 0.6758 0.3688 0.8828  5 S 2.63-2.79, 1 Cl 2.74
Er 0.6929 0.3688 0.3828  5 S 2.63-2.79, 1 Cl 2.74
Er 0.2817 0.5751 0.5811  5 S 2.60-2.76, 1 Cl 2.85
Er 0.2934 0.5751 0.0811  5 S 2.60-2.76, 1 Cl 2.85
Er 0.9298 0.8371 0.7976  5 S 2.62-2.82, 1 Cl 2.76
Er 0.9073 0.8371 0.2976  5 S 2.62-2.82, 1 Cl 2.76

Summary:
Symmetry: Cc
Density: 5.28 g/cm3
Magnetic moment: 0.000 μB per atom
Formation energy without anion corrections: -1594 kJ/mol of formula units

=====

Entry 16:
Compound: RbLi2AlOs
Source: the Alexandria database
Functional: PBE
Structure: relaxed

a b c (Å): 5.1718 6.1483 5.1718
angles (deg): 90.00 90.00 90.00
Closest atoms and distances in Å follow each position.
Positions (direct):
Os 0.5000 0.5000 0.5000  4 Rb 3.66, 8 Li 4.02
Al 0.0000 0.0000 0.0000  4 Li 2.59
Rb 0.0000 0.5000 0.0000  2 Al 3.07
Li 0.0000 0.0000 0.5000  2 Al 2.59
Li 0.5000 0.0000 0.0000  2 Al 2.59

Summary:
Energy of formation: 1.65 eV per atom
Symmetry: P4/mmm
Density: 3.20 g/cm3
Magnetic moment: 0.771 μB per atom

=====

Entry 17:
Compound: CrHg3Mo
Source: the Alexandria database
Functional: PBE
Structure: relaxed

a b c (Å): 5.1926 5.1926 5.1926
angles (deg): 90.00 90.00 90.00
Closest atoms and distances in Å follow each position.
Positions (direct):
Cr 0.0000 0.0000 0.0000  6 Hg 2.60
Mo 0.5000 0.5000 0.5000  12 Hg 3.67
Hg 0.0000 0.5000 0.0000  2 Cr 2.60
Hg 0.0000 0.0000 0.5000  2 Cr 2.60
Hg 0.5000 0.0000 0.0000  2 Cr 2.60

Summary:
Energy of formation: 1.31 eV per atom
Symmetry: Pm-3m
Density: 8.89 g/cm3
Magnetic moment: 1.781 μB per atom
E above lowest polymorph: 0 meV/atom

=====

Entry 18:
Compound: BaBPdI
Source: the Alexandria database
Functional: PBE
Structure: relaxed

a b c (Å): 3.9648 5.3599 6.1551
angles (deg): 115.78 108.84 90.00
Closest atoms and distances in Å follow each position.
Positions (direct):
I 0.7845 0.8322 0.8344  1 Pd 2.78
B 0.9651 0.5156 0.1976  2 Pd 2.05
Ba 0.1648 0.2134 0.5956  4 B 3.38-3.69, 4 I 3.55-3.56, 5 Pd 3.63-3.68
Pd 0.5151 0.5650 0.2973  2 B 2.05

Summary:
Symmetry: Cm
Density: 5.76 g/cm3
Magnetic moment: 0.000 μB per atom
Formation energy without anion corrections: -68 kJ/mol of formula units
E above lowest polymorph: 1 meV/atom

=====

Entry 19:
Compound: Sc2Cr2Fe
Source: the Alexandria database
Functional: PBE
Structure: relaxed

a b c (Å): 5.9386 5.9386 4.4891
angles (deg): 90.00 90.00 90.00
Closest atoms and distances in Å follow each position.
Positions (direct):
Sc 0.1748 0.6748 0.5000  6 Cr 2.75-2.91, 1 Sc 2.94
Sc 0.6748 0.8252 0.5000  6 Cr 2.75-2.91, 1 Sc 2.94
Sc 0.8252 0.3252 0.5000  6 Cr 2.75-2.91, 1 Sc 2.94
Sc 0.3252 0.1748 0.5000  6 Cr 2.75-2.91, 1 Sc 2.94
Cr 0.3641 0.8641 0.0000  1 Cr 2.28, 2 Fe 2.31
Cr 0.8641 0.6359 0.0000  1 Cr 2.28, 2 Fe 2.31
Cr 0.6359 0.1359 0.0000  1 Cr 2.28, 2 Fe 2.31
Cr 0.1359 0.3641 0.0000  1 Cr 2.28, 2 Fe 2.31
Fe 0.0000 0.0000 0.0000  4 Cr 2.31
Fe 0.5000 0.5000 0.0000  4 Cr 2.31

Summary:
Energy of formation: 0.21 eV per atom
Symmetry: P4/mbm
Density: 5.24 g/cm3
Magnetic moment: 0.250 μB per atom

=====

Entry 20:
Compound: Hf6FePb3
Source: the Alexandria database
Functional: PBE
Structure: relaxed

a b c (Å): 4.8575 9.0975 10.0092
angles (deg): 96.96 90.00 90.00
Closest atoms and distances in Å follow each position.
Positions (direct):
Hf 0.2500 0.4257 0.0852  3 Hf 3.02-3.35, 6 Pb 3.03-3.19
Hf 0.7500 0.5743 0.9148  3 Hf 3.02-3.35, 6 Pb 3.03-3.19
Hf 0.2500 0.1198 0.1744  7 Hf 2.94-3.13, 2 Pb 3.22
Hf 0.7500 0.8802 0.8256  7 Hf 2.94-3.13, 2 Pb 3.22
Hf 0.2500 0.7146 0.6971  1 Fe 2.54
Hf 0.7500 0.2854 0.3029  1 Fe 2.54
Hf 0.2500 0.1951 0.4875  1 Fe 2.54
Hf 0.7500 0.8049 0.5125  1 Fe 2.54
Hf 0.2500 0.8618 0.3392  1 Fe 2.59
Hf 0.7500 0.1382 0.6608  1 Fe 2.59
Hf 0.2500 0.0641 0.8424  1 Fe 2.56
Hf 0.7500 0.9359 0.1576  1 Fe 2.56
Fe 0.2500 0.9558 0.5940  4 Hf 2.54-2.59
Fe 0.7500 0.0442 0.4060  4 Hf 2.54-2.59
Pb 0.2500 0.5265 0.4009  6 Hf 3.18-3.34, 4 Pb 3.19-3.21
Pb 0.7500 0.4735 0.5991  6 Hf 3.18-3.34, 4 Pb 3.19-3.21
Pb 0.2500 0.3834 0.7799  6 Hf 3.03-3.22, 2 Pb 3.19
Pb 0.7500 0.6166 0.2201  6 Hf 3.03-3.22, 2 Pb 3.19
Pb 0.2500 0.7832 0.0077  11 Hf 3.09-3.43
Pb 0.7500 0.2168 0.9923  11 Hf 3.09-3.43

Summary:
Energy of formation: 0.04 eV per atom
Symmetry: P2_1/m
Density: 13.22 g/cm3
Magnetic moment: 0.000 μB per atom